The following is a DFT calculation (PBE-GGA) of crystalline LaBiSe2N at its relaxed geometry.

a = 5.4978 Å, b = 5.4978 Å, c = 4.3039 Å
α = 90.00°, β = 90.00°, γ = 90.00°
With the nearest neighbours (Å) after each atom.
Atoms (fractional coordinates):
1 Bi 0.0000 0.0000 0.0000  2 N 2.15
2 N 0.0000 0.0000 0.5000  2 Bi 2.15
3 La 0.5000 0.5000 0.5000  8 Se 3.49, 4 N 3.89
4 Se 0.0000 0.5000 0.0000  2 Bi 2.75
5 Se 0.5000 0.0000 0.0000  2 Bi 2.75

Calculated values
Distance to the lowest polymorph of the same formula   0 meV/atom
VASP energy   -4.912 eV/atom